# 1
First-principles (PBE) data for a relaxed TiSbO2 crystal, as listed in the Alexandria database.

The total energy comes out at -116.8 eV per cell. The volume is 18.62 Å³/atom. For the formation energy (no corrections), the calculation gives -175.53 kJ per mole of atoms. The value obtained for the relative energy among the computed polymorphs is 116 meV per atom. The calculation puts the spin magnetization at 0.00 μB per cell.

The structure belongs to space group I-42d (No. 122); the cell edges are 5.950, 5.950 and 8.416 Å and the angles 90.00°, 90.00° and 90.00°. Symmetry generates all atoms from Ti at (0.000, 0.000, 0.000), Sb at (0.000, 0.000, 0.500) and O at (0.002, 0.250, 0.125).

=====

# 2
First-principles (PBE) data for a relaxed ReHg2W crystal, as listed in the Alexandria database.

The total energy comes out at -84.6 eV per cell. The volume is 17.54 Å³/atom. The value obtained for the relative energy among the computed polymorphs is 716 meV per atom. The calculation puts the spin magnetization at 0.00 μB per cell. For the formation energy, the calculation gives 28.05 kcal/mol of atoms.

The structure belongs to space group Fm-3m (No. 225); the cell edges are 6.547, 6.547 and 6.547 Å and the angles 90.00°, 90.00° and 90.00°. Symmetry generates all atoms from Re at (0.000, 0.000, 0.000), Hg at (0.250, 0.250, 0.250) and W at (0.000, 0.000, 0.500).